No. 1
Compound: LaAl3Ga
Source: Alexandria via LeMat-Bulk
Functional: PBE
Structure: relaxed

Properties
Density of states at the Fermi level (states/eV per cell): 1.80
Calculated formation energy (eV/atom): -0.43

a = 4.317 Å, b = 4.317 Å, c = 6.389 Å
α = 70.15°, β = 70.15°, γ = 90.02°
Element x y z (fractional)
La: 0.403 0.206 0.900
Al: 0.651 0.955 0.403
Al: 0.151 0.454 0.403
Al: 0.788 0.592 0.129
Ga: 0.015 0.818 0.676

***

No. 2
Compound: AlCd2Cu
Source: Alexandria via LeMat-Bulk
Functional: PBE
Structure: relaxed

Properties
Density of states at the Fermi level (states/eV per cell): 1.32
Calculated formation energy (eV/atom): 0.13

a = 3.094 Å, b = 4.087 Å, c = 5.759 Å
α = 90.00°, β = 90.00°, γ = 90.00°
Element x y z (fractional)
Al: 0.500 0.500 0.750
Cu: 0.500 0.500 0.250
Cd: 0.000 0.000 0.007
Cd: 0.000 0.000 0.493

***

No. 3
Compound: HoZrS3
Source: Alexandria via LeMat-Bulk
Functional: PBE
Structure: relaxed

Properties
ΔE_f (raw) (kJ per mole of atoms): -172.37
Density of states at the Fermi level (states/eV per cell): 8.66

a = 3.718 Å, b = 7.015 Å, c = 15.262 Å
α = 90.00°, β = 90.00°, γ = 90.00°
Element x y z (fractional)
Ho: 0.750 0.879 0.806
Ho: 0.250 0.121 0.194
Ho: 0.750 0.379 0.694
Ho: 0.250 0.621 0.306
Zr: 0.250 0.264 0.956
Zr: 0.250 0.764 0.544
Zr: 0.750 0.236 0.456
Zr: 0.750 0.736 0.044
S: 0.250 0.384 0.563
S: 0.750 0.829 0.215
S: 0.750 0.501 0.901
S: 0.750 0.001 0.599
S: 0.750 0.616 0.437
S: 0.250 0.999 0.401
S: 0.250 0.884 0.937
S: 0.750 0.329 0.285
S: 0.250 0.671 0.715
S: 0.250 0.171 0.785
S: 0.750 0.116 0.063
S: 0.250 0.499 0.099

***

No. 4
Compound: LiCeMgPd
Source: Alexandria via LeMat-Bulk
Functional: PBE
Structure: relaxed

Properties
Density of states at the Fermi level (states/eV per cell): 7.77
Calculated formation energy (eV/atom): -0.31

a = 4.887 Å, b = 4.887 Å, c = 4.887 Å
α = 60.00°, β = 60.00°, γ = 60.00°
Element x y z (fractional)
Mg: 0.750 0.750 0.750
Pd: 0.000 0.000 0.000
Ce: 0.250 0.250 0.250
Li: 0.500 0.500 0.500

***

No. 5
Compound: AcLa3Rh3
Source: Alexandria via LeMat-Bulk
Functional: PBE
Structure: relaxed

Properties
Density of states at the Fermi level (states/eV per cell): 12.48
Calculated formation energy (eV/atom): -0.65

a = 10.223 Å, b = 10.223 Å, c = 10.223 Å
α = 109.47°, β = 109.47°, γ = 109.47°
Element x y z (fractional)
Ac: 0.000 0.743 0.000
Ac: 0.257 0.257 0.257
Ac: 0.743 0.000 0.000
Ac: 0.000 0.000 0.743
La: 0.491 0.746 0.491
La: 0.509 0.256 0.000
La: 0.000 0.509 0.256
La: 0.256 0.000 0.509
La: 0.744 0.744 0.254
La: 0.744 0.254 0.744
La: 0.256 0.509 0.000
La: 0.509 0.000 0.256
La: 0.491 0.491 0.746
La: 0.000 0.256 0.509
La: 0.254 0.744 0.744
La: 0.746 0.491 0.491
Rh: 0.249 0.756 0.249
Rh: 0.751 0.507 0.000
Rh: 0.493 0.493 0.244
Rh: 0.507 0.000 0.751
Rh: 0.493 0.244 0.493
Rh: 0.507 0.751 0.000
Rh: 0.000 0.751 0.507
Rh: 0.244 0.493 0.493
Rh: 0.756 0.249 0.249
Rh: 0.249 0.249 0.756
Rh: 0.751 0.000 0.507
Rh: 0.000 0.507 0.751

***

No. 6
Compound: Tb2ZnGa4Pt3
Source: Alexandria via LeMat-Bulk
Functional: PBE
Structure: relaxed

Properties
Density of states at the Fermi level (states/eV per cell): 4.86
Calculated formation energy (eV/atom): -0.85

a = 4.172 Å, b = 4.172 Å, c = 10.803 Å
α = 90.00°, β = 90.00°, γ = 90.00°
Element x y z (fractional)
Tb: 0.500 0.000 0.246
Tb: 0.000 0.500 0.754
Zn: 0.500 0.500 0.500
Ga: 0.500 0.500 0.000
Ga: 0.000 0.000 0.000
Ga: 0.500 0.000 0.635
Ga: 0.000 0.500 0.365
Pt: 0.000 0.000 0.500
Pt: 0.500 0.000 0.863
Pt: 0.000 0.500 0.137

***

No. 7
Compound: NbHgS2
Source: Alexandria via LeMat-Bulk
Functional: PBE
Structure: relaxed

Properties
ΔE_f (raw) (kJ per mole of atoms): -52.58
Density of states at the Fermi level (states/eV per cell): 16.76

a = 18.835 Å, b = 6.455 Å, c = 6.455 Å
α = 89.41°, β = 105.41°, γ = 74.59°
Element x y z (fractional)
S: 0.073 0.777 0.669
S: 0.427 0.169 0.277
S: 0.927 0.223 0.331
S: 0.573 0.831 0.723
S: 0.755 0.185 0.163
S: 0.745 0.663 0.685
S: 0.245 0.815 0.837
S: 0.255 0.337 0.315
S: 0.425 0.698 0.276
S: 0.075 0.776 0.198
S: 0.575 0.302 0.724
S: 0.925 0.224 0.802
S: 0.750 0.196 0.696
S: 0.250 0.804 0.304
S: 0.750 0.662 0.162
S: 0.250 0.338 0.838
Nb: 0.331 0.506 0.134
Nb: 0.169 0.634 0.006
Nb: 0.669 0.494 0.866
Nb: 0.831 0.366 0.994
Nb: 0.321 0.021 0.131
Nb: 0.179 0.631 0.521
Nb: 0.679 0.979 0.869
Nb: 0.821 0.369 0.479
Hg: 0.075 0.313 0.933
Hg: 0.425 0.433 0.813
Hg: 0.925 0.687 0.067
Hg: 0.575 0.567 0.187
Hg: 0.411 0.950 0.786
Hg: 0.089 0.286 0.450
Hg: 0.589 0.050 0.214
Hg: 0.911 0.714 0.550

***

No. 8
Compound: Fe3IrRu
Source: Alexandria via LeMat-Bulk
Functional: PBE
Structure: relaxed

Properties
Density of states at the Fermi level (states/eV per cell): 9.85
Calculated formation energy (eV/atom): 1.60

a = 4.573 Å, b = 4.573 Å, c = 4.573 Å
α = 90.00°, β = 90.00°, γ = 90.00°
Element x y z (fractional)
Ru: 0.500 0.500 0.500
Ir: 0.000 0.000 0.000
Fe: 0.000 0.500 0.000
Fe: 0.000 0.000 0.500
Fe: 0.500 0.000 0.000

***

No. 9
Compound: MnCu3Os
Source: Alexandria via LeMat-Bulk
Functional: PBE
Structure: relaxed

Properties
Density of states at the Fermi level (states/eV per cell): 5.36
Calculated formation energy (eV/atom): 1.44

a = 4.613 Å, b = 4.613 Å, c = 4.613 Å
α = 90.00°, β = 90.00°, γ = 90.00°
Element x y z (fractional)
Mn: 0.500 0.500 0.500
Os: 0.000 0.000 0.000
Cu: 0.000 0.500 0.000
Cu: 0.000 0.000 0.500
Cu: 0.500 0.000 0.000

***

No. 10
Compound: KSiSe
Source: Alexandria via LeMat-Bulk
Functional: PBE
Structure: relaxed

Properties
ΔE_f (raw) (kJ per mole of atoms): -18.09
Density of states at the Fermi level (states/eV per cell): 1.32

a = 6.443 Å, b = 6.435 Å, c = 3.575 Å
α = 74.00°, β = 73.77°, γ = 32.23°
Element x y z (fractional)
K: 0.000 0.000 0.000
Se: 0.711 0.711 0.289
Si: 0.288 0.288 0.712

***

No. 11
Compound: KCdInSb2
Source: Alexandria via LeMat-Bulk
Functional: PBE
Structure: relaxed

Properties
ΔE_f (raw) (kJ per mole of atoms): -23.70
Density of states at the Fermi level (states/eV per cell): 1.69

a = 4.706 Å, b = 4.706 Å, c = 8.262 Å
α = 106.55°, β = 106.55°, γ = 90.00°
Element x y z (fractional)
K: 0.000 0.000 0.000
Cd: 0.250 0.750 0.500
In: 0.750 0.250 0.500
Sb: 0.628 0.628 0.257
Sb: 0.372 0.372 0.743

***

No. 12
Compound: In2FeMo
Source: Alexandria via LeMat-Bulk
Functional: PBE
Structure: relaxed

Properties
Density of states at the Fermi level (states/eV per cell): 4.27
Calculated formation energy (eV/atom): 0.40

a = 4.144 Å, b = 4.145 Å, c = 4.110 Å
α = 90.00°, β = 90.00°, γ = 90.00°
Element x y z (fractional)
Fe: 0.000 0.500 0.500
In: 0.000 0.000 0.000
In: 0.500 0.500 0.000
Mo: 0.500 0.000 0.500

***

No. 13
Compound: ZnRe2SiIr
Source: Alexandria via LeMat-Bulk
Functional: PBE
Structure: relaxed

Properties
ΔE_f (raw) (kJ per mole of atoms): 190.26
Density of states at the Fermi level (states/eV per cell): 8.11

a = 4.526 Å, b = 4.116 Å, c = 4.526 Å
α = 90.00°, β = 90.00°, γ = 90.00°
Element x y z (fractional)
Re: 0.000 0.000 0.500
Re: 0.500 0.000 0.000
Zn: 0.000 0.000 0.000
Ir: 0.500 0.500 0.500
Si: 0.000 0.500 0.000

***

No. 14
Compound: PrCdPdPb
Source: Alexandria via LeMat-Bulk
Functional: PBE
Structure: relaxed

Properties
Density of states at the Fermi level (states/eV per cell): 2.11
Calculated formation energy (eV/atom): -0.43

a = 5.148 Å, b = 5.148 Å, c = 5.148 Å
α = 60.00°, β = 60.00°, γ = 60.00°
Element x y z (fractional)
Pb: 0.000 0.000 0.000
Pr: 0.500 0.500 0.500
Pd: 0.250 0.250 0.250
Cd: 0.750 0.750 0.750

***

No. 15
Compound: NaCdAgCl2
Source: Alexandria via LeMat-Bulk
Functional: PBE
Structure: relaxed

Properties
ΔE_f (raw) (kJ per mole of atoms): -27.90
Density of states at the Fermi level (states/eV per cell): 0.00

a = 5.120 Å, b = 5.588 Å, c = 5.120 Å
α = 90.00°, β = 90.00°, γ = 90.00°
Element x y z (fractional)
Na: 0.000 0.000 0.000
Cl: 0.000 0.000 0.500
Cl: 0.500 0.000 0.000
Ag: 0.500 0.500 0.500
Cd: 0.000 0.500 0.000

***

No. 16
Compound: TiN
Source: Alexandria via LeMat-Bulk
Functional: PBE
Structure: relaxed

Properties
ΔE_f (raw) (kJ per mole of atoms): -123.30
Density of states at the Fermi level (states/eV per cell): 7.53

a = 2.965 Å, b = 9.086 Å, c = 5.653 Å
α = 90.00°, β = 90.00°, γ = 90.00°
Element x y z (fractional)
Ti: 0.000 0.287 0.860
Ti: 0.000 0.713 0.860
Ti: 0.000 0.787 0.360
Ti: 0.000 0.213 0.360
Ti: 0.500 0.000 0.639
Ti: 0.500 0.500 0.139
N: 0.500 0.763 0.617
N: 0.500 0.237 0.617
N: 0.500 0.263 0.117
N: 0.500 0.737 0.117
N: 0.000 0.000 0.408
N: 0.000 0.500 0.908

***

No. 17
Compound: BaMnH8Pd2
Source: Alexandria via LeMat-Bulk
Functional: PBE
Structure: relaxed

Properties
Density of states at the Fermi level (states/eV per cell): 2.86
Final energy (eV for the cell shown): -49.64

a = 4.823 Å, b = 4.823 Å, c = 6.766 Å
α = 69.12°, β = 69.12°, γ = 60.00°
Element x y z (fractional)
Ba: 0.500 0.500 0.500
Mn: 0.000 0.000 0.000
H: 0.202 0.202 0.393
H: 0.660 0.282 0.139
H: 0.798 0.798 0.607
H: 0.919 0.660 0.139
H: 0.081 0.340 0.861
H: 0.282 0.919 0.139
H: 0.718 0.081 0.861
H: 0.340 0.718 0.861
Pd: 0.293 0.293 0.120
Pd: 0.707 0.707 0.880

***

No. 18
Compound: Sm3DyTmTh
Source: Alexandria via LeMat-Bulk
Functional: PBE
Structure: relaxed

Properties
Density of states at the Fermi level (states/eV per cell): 21.98
Calculated formation energy (eV/atom): 0.16

a = 5.750 Å, b = 6.532 Å, c = 11.659 Å
α = 90.00°, β = 90.00°, γ = 116.11°
Element x y z (fractional)
Sm: 0.673 0.347 0.470
Sm: 0.327 0.653 0.530
Sm: 0.327 0.653 0.970
Sm: 0.673 0.347 0.030
Sm: 0.136 0.272 0.750
Sm: 0.864 0.728 0.250
Dy: 0.000 0.000 0.500
Dy: 0.000 0.000 0.000
Tm: 0.828 0.656 0.750
Tm: 0.172 0.344 0.250
Th: 0.525 0.051 0.750
Th: 0.475 0.949 0.250

***

No. 19
Compound: Na2TlF
Source: Alexandria via LeMat-Bulk
Functional: PBE
Structure: relaxed

Properties
ΔE_f (raw) (kJ per mole of atoms): -71.72
Density of states at the Fermi level (states/eV per cell): 1.44

a = 5.147 Å, b = 5.147 Å, c = 5.147 Å
α = 60.00°, β = 60.00°, γ = 60.00°
Element x y z (fractional)
Na: 0.250 0.250 0.250
Na: 0.750 0.750 0.750
Tl: 0.500 0.500 0.500
F: 0.000 0.000 0.000

***

No. 20
Compound: YHo3Zn2
Source: Alexandria via LeMat-Bulk
Functional: PBE
Structure: relaxed

Properties
Density of states at the Fermi level (states/eV per cell): 6.33
Calculated formation energy (eV/atom): -0.23

a = 3.559 Å, b = 3.559 Å, c = 12.126 Å
α = 90.00°, β = 90.00°, γ = 90.00°
Element x y z (fractional)
Y: 0.500 0.500 0.500
Ho: 0.000 0.000 0.000
Ho: 0.000 0.000 0.711
Ho: 0.000 0.000 0.289
Zn: 0.500 0.500 0.855
Zn: 0.500 0.500 0.145

***

No. 21
Compound: LaHoMgPa
Source: Alexandria via LeMat-Bulk
Functional: PBE
Structure: relaxed

Properties
Density of states at the Fermi level (states/eV per cell): 7.91
Calculated formation energy (eV/atom): 0.33

a = 5.454 Å, b = 5.454 Å, c = 5.454 Å
α = 60.00°, β = 60.00°, γ = 60.00°
Element x y z (fractional)
Mg: 0.000 0.000 0.000
Pa: 0.500 0.500 0.500
Ho: 0.250 0.250 0.250
La: 0.750 0.750 0.750

***

No. 22
Compound: Sr2ZnP
Source: Alexandria via LeMat-Bulk
Functional: PBE
Structure: relaxed

Properties
Density of states at the Fermi level (states/eV per cell): 3.72
Calculated formation energy (eV/atom): -0.24

a = 3.826 Å, b = 3.826 Å, c = 8.615 Å
α = 90.00°, β = 90.00°, γ = 90.00°
Element x y z (fractional)
Sr: 0.000 0.000 0.897
Sr: 0.500 0.500 0.351
Zn: 0.000 0.000 0.552
P: 0.500 0.500 0.700

***

No. 23
Compound: Sc2Mn2Co
Source: Alexandria via LeMat-Bulk
Functional: PBE
Structure: relaxed

Properties
Density of states at the Fermi level (states/eV per cell): 8.91
Calculated formation energy (eV/atom): 0.02

a = 6.084 Å, b = 6.084 Å, c = 4.231 Å
α = 90.00°, β = 90.00°, γ = 90.00°
Element x y z (fractional)
Sc: 0.176 0.676 0.500
Sc: 0.676 0.824 0.500
Sc: 0.824 0.324 0.500
Sc: 0.324 0.176 0.500
Mn: 0.368 0.868 0.000
Mn: 0.868 0.632 0.000
Mn: 0.632 0.132 0.000
Mn: 0.132 0.368 0.000
Co: 0.000 0.000 0.000
Co: 0.500 0.500 0.000

***

No. 24
Compound: SrMg2CoRu
Source: Alexandria via LeMat-Bulk
Functional: PBE
Structure: relaxed

Properties
Density of states at the Fermi level (states/eV per cell): 9.47
Calculated formation energy (eV/atom): 0.86

a = 4.996 Å, b = 5.398 Å, c = 4.996 Å
α = 90.00°, β = 90.00°, γ = 90.00°
Element x y z (fractional)
Ru: 0.000 0.000 0.000
Mg: 0.000 0.000 0.500
Mg: 0.500 0.000 0.000
Co: 0.500 0.500 0.500
Sr: 0.000 0.500 0.000